# 1
# MgSbSCl2 GGA-PBE optimized geometry
# Space-group type: No. 123
# Electronic total energy in eV per atom: -2.975
data_MgSbSCl2
_chemical_formula_sum 'Mg1 Sb1 S1 Cl2'
_space_group_name_H-M_alt 'P 1'
_space_group_IT_number 1
_space_group_name_Hall 'P 1'
_cell_length_a 5.338
_cell_length_b 5.338
_cell_length_c 5.186
_cell_angle_alpha 90.00
_cell_angle_beta 90.00
_cell_angle_gamma 90.00
loop_
_atom_site_label
_atom_site_fract_x
_atom_site_fract_y
_atom_site_fract_z
Mg1 0.500 0.500 0.500
Sb1 0.000 0.000 0.000
Cl1 0.500 0.000 0.000
Cl2 0.000 0.500 0.000
S1 0.000 0.000 0.500

# 2
# Dy2Ga2AgPd5 GGA-PBE optimized geometry
# Space-group type: No. 127
# DFT formation energy in eV per atom: -0.66
data_Dy2Ga2AgPd5
_chemical_formula_sum 'Dy4 Ga4 Ag2 Pd10'
_space_group_name_H-M_alt 'P 1'
_space_group_IT_number 1
_space_group_name_Hall 'P 1'
_cell_length_a 3.797
_cell_length_b 9.773
_cell_length_c 9.773
_cell_angle_alpha 90.00
_cell_angle_beta 90.00
_cell_angle_gamma 90.00
loop_
_atom_site_label
_atom_site_fract_x
_atom_site_fract_y
_atom_site_fract_z
Pd1 0.500 0.208 0.066
Pd2 0.500 0.792 0.934
Pd3 0.500 0.708 0.434
Pd4 0.500 0.566 0.708
Pd5 0.500 0.000 0.500
Pd6 0.500 0.434 0.292
Pd7 0.500 0.292 0.566
Pd8 0.500 0.066 0.792
Pd9 0.500 0.500 0.000
Pd10 0.500 0.934 0.208
Ga1 0.000 0.121 0.621
Ga2 0.000 0.621 0.879
Ga3 0.000 0.879 0.379
Ga4 0.000 0.379 0.121
Ag1 0.000 0.500 0.500
Ag2 0.000 0.000 0.000
Dy1 0.000 0.178 0.322
Dy2 0.000 0.822 0.678
Dy3 0.000 0.678 0.178
Dy4 0.000 0.322 0.822

Repeat the second record exactly.
# Dy2Ga2AgPd5 GGA-PBE optimized geometry
# Space-group type: No. 127
# DFT formation energy in eV per atom: -0.66
data_Dy2Ga2AgPd5
_chemical_formula_sum 'Dy4 Ga4 Ag2 Pd10'
_space_group_name_H-M_alt 'P 1'
_space_group_IT_number 1
_space_group_name_Hall 'P 1'
_cell_length_a 3.797
_cell_length_b 9.773
_cell_length_c 9.773
_cell_angle_alpha 90.00
_cell_angle_beta 90.00
_cell_angle_gamma 90.00
loop_
_atom_site_label
_atom_site_fract_x
_atom_site_fract_y
_atom_site_fract_z
Pd1 0.500 0.208 0.066
Pd2 0.500 0.792 0.934
Pd3 0.500 0.708 0.434
Pd4 0.500 0.566 0.708
Pd5 0.500 0.000 0.500
Pd6 0.500 0.434 0.292
Pd7 0.500 0.292 0.566
Pd8 0.500 0.066 0.792
Pd9 0.500 0.500 0.000
Pd10 0.500 0.934 0.208
Ga1 0.000 0.121 0.621
Ga2 0.000 0.621 0.879
Ga3 0.000 0.879 0.379
Ga4 0.000 0.379 0.121
Ag1 0.000 0.500 0.500
Ag2 0.000 0.000 0.000
Dy1 0.000 0.178 0.322
Dy2 0.000 0.822 0.678
Dy3 0.000 0.678 0.178
Dy4 0.000 0.322 0.822

Copy entry 1 word for word.
# MgSbSCl2 GGA-PBE optimized geometry
# Space-group type: No. 123
# Electronic total energy in eV per atom: -2.975
data_MgSbSCl2
_chemical_formula_sum 'Mg1 Sb1 S1 Cl2'
_space_group_name_H-M_alt 'P 1'
_space_group_IT_number 1
_space_group_name_Hall 'P 1'
_cell_length_a 5.338
_cell_length_b 5.338
_cell_length_c 5.186
_cell_angle_alpha 90.00
_cell_angle_beta 90.00
_cell_angle_gamma 90.00
loop_
_atom_site_label
_atom_site_fract_x
_atom_site_fract_y
_atom_site_fract_z
Mg1 0.500 0.500 0.500
Sb1 0.000 0.000 0.000
Cl1 0.500 0.000 0.000
Cl2 0.000 0.500 0.000
S1 0.000 0.000 0.500